This record from Alexandria via LeMat-Bulk describes an optimized crystal structure of ZnOsAu4. The functional is PBE-GGA.

Cell: 7.6431 7.6431 7.6431 Å, 90.00 90.00 90.00°
Space group F-43m (No. 216)
Asymmetric unit:
Zn (0.0000, 0.0000, 0.0000) x4
Os (0.2500, 0.2500, 0.7500) x4
Au (0.1249, 0.1249, 0.3751) x16

Output
ρ (Mg/m³): 15.524
Calculated formation energy (kJ/mol of formula units): 443
Total moment (μB per formula unit): 1.91

This record from Alexandria via LeMat-Bulk describes an optimized crystal structure of ZnOs2Au. The functional is PBE-GGA.

Cell: 2.7274 2.7274 8.1623 Å, 90.00 90.00 90.00°
Space group P4/mmm (No. 123)
Asymmetric unit:
Zn (0.0000, 0.0000, 0.0000) x1
Os (0.5000, 0.5000, 0.2394) x2
Au (0.0000, 0.0000, 0.5000) x1

Output
ρ (Mg/m³): 17.581
Calculated formation energy (kJ/mol of formula units): 260
Total moment (μB per formula unit): 0.00

This record from Alexandria via LeMat-Bulk describes an optimized crystal structure of ZnOsAu. The functional is PBE-GGA.

Cell: 2.8356 4.7490 13.9483 Å, 90.00 90.00 90.00°
Space group Fmm2 (No. 42)
Asymmetric unit:
Zn (0.0000, 0.0000, 0.0000) x4
Os (0.0000, 0.0000, 0.3448) x4
Au (0.0000, 0.0000, 0.6642) x4

Output
ρ (Mg/m³): 16.005
Calculated formation energy (kJ/mol of formula units): 96
Relative energy among the computed polymorphs (meV per atom): 61
Total moment (μB per formula unit): 0.27

This record from Alexandria via LeMat-Bulk describes an optimized crystal structure of Zn2OsAu. The functional is PBE-GGA.

Cell: 3.1691 3.1691 6.0082 Å, 90.00 90.00 90.00°
Space group P4mm (No. 99)
Asymmetric unit:
Zn (0.0000, 0.0000, 0.0000) x1
Zn (0.5000, 0.5000, 0.2441) x1
Os (0.5000, 0.5000, 0.7872) x1
Au (0.0000, 0.0000, 0.4924) x1

Output
ρ (Mg/m³): 14.255
Calculated formation energy (kJ/mol of formula units): 108
Total moment (μB per formula unit): 0.00

This record from Alexandria via LeMat-Bulk describes an optimized crystal structure of Zn2OsAu. The functional is PBE-GGA.

Cell: 3.1641 3.1641 5.9939 Å, 90.00 90.00 90.00°
Space group P4/mmm (No. 123)
Asymmetric unit:
Zn (0.0000, 0.0000, 0.2290) x2
Os (0.5000, 0.5000, 0.0000) x1
Au (0.5000, 0.5000, 0.5000) x1

Output
ρ (Mg/m³): 14.334
Calculated formation energy (kJ/mol of formula units): 53
Total moment (μB per formula unit): 0.00

This record from Alexandria via LeMat-Bulk describes an optimized crystal structure of Zn2OsAu. The functional is PBE-GGA.

Cell: 3.7872 3.7872 8.4964 Å, 90.00 90.00 90.00°
Space group I-4m2 (No. 119)
Asymmetric unit:
Zn (0.0000, 0.0000, 0.0000) x2
Zn (0.0000, 0.5000, 0.2500) x2
Os (0.0000, 0.0000, 0.5000) x2
Au (0.0000, 0.5000, 0.7500) x2

Output
ρ (Mg/m³): 14.117
Calculated formation energy (kJ/mol of formula units): 118
Total moment (μB per formula unit): 0.63

This record from Alexandria via LeMat-Bulk describes an optimized crystal structure of ZnOs2Au. The functional is PBE-GGA.

Cell: 2.7851 2.7851 27.2664 Å, 90.00 90.00 120.00°
Space group R3m (No. 160, hexagonal axes)
Asymmetric unit:
Zn (0.0000, 0.0000, 0.0000) x3
Os (0.0000, 0.0000, 0.4908) x3
Os (0.0000, 0.0000, 0.7479) x3
Au (0.0000, 0.0000, 0.2480) x3

Output
ρ (Mg/m³): 17.483
Calculated formation energy (kJ/mol of formula units): 72
Total moment (μB per formula unit): 0.00

This record from Alexandria via LeMat-Bulk describes an optimized crystal structure of ZnOs2Au. The functional is PBE-GGA.

Cell: 2.8092 3.8158 5.7162 Å, 90.00 90.00 90.00°
Space group Pmm2 (No. 25)
Asymmetric unit:
Zn (0.0000, 0.0000, 0.0000) x1
Os (0.0000, 0.0000, 0.5362) x1
Os (0.5000, 0.5000, 0.7229) x1
Au (0.5000, 0.5000, 0.2274) x1

Output
ρ (Mg/m³): 17.421
Calculated formation energy (kJ/mol of formula units): 83
Total moment (μB per formula unit): 0.00

The highest total moment belongs to which entry? ZnOsAu4

total moment of number 4 (Zn2OsAu)? 0.00 μB per formula unit

Among the records above, which one has the lowest ρ? number 6

What is the formula in the seventh record? ZnOs2Au